Record 1
A plane-wave DFT calculation with PBE-GGA was carried out for an optimized crystal structure of ZnRePS2.

## Properties
E above lowest polymorph ... 974.8 meV per atom
Uncorrected formation energy ... 1450 meV per atom

abc: 4.568 4.568 4.544
angles: 90.00 90.00 90.00
Space group P4/mmm (No. 123)
Unique sites:
Zn  0.000  0.000  0.000 x1
Re  0.500  0.500  0.500 x1
P  0.000  0.000  0.500 x1
S  0.000  0.500  0.000 x2

Record 2
A plane-wave DFT calculation with PBE-GGA was carried out for an optimized crystal structure of CaTcNO2.

## Properties
Uncorrected formation energy ... -474 meV per atom

abc: 3.714 3.714 6.592
angles: 90.00 90.00 90.00
Space group P4/mmm (No. 123)
Unique sites:
Ca  0.000  0.000  0.000 x1
Tc  0.000  0.000  0.500 x1
N  0.500  0.500  0.000 x1
O  0.000  0.500  0.500 x2

Record 3
A plane-wave DFT calculation with PBE-GGA was carried out for an optimized crystal structure of LaHS.

## Properties
Electronic total energy ... -5.53 eV/atom

abc: 10.634 4.059 7.109
angles: 90.00 130.51 90.00
Space group C2/m (No. 12)
Unique sites:
La  0.229  0.000  0.203 x4
H  0.199  0.000  0.847 x4
S  0.042  0.500  0.267 x4

Number 1: total moment 2.7 Bohr magnetons per cell. Number 2: total moment 1.6 Bohr magnetons per cell. Number 3: total moment 0.0 Bohr magnetons per cell.